(1)
Entry from Alexandria: Ba2NdN2Cl2 after structural relaxation (GGA-PBE).

Lattice parameters (Å, degrees): 8.724 8.724 8.724 148.78 148.78 44.74
Atoms (fractional coordinates):
Ba  0.113  0.113  0.000
Ba  0.887  0.887  0.000
Nd  0.500  0.500  0.000
N  0.000  0.500  0.500
N  0.500  0.000  0.500
Cl  0.319  0.319  0.000
Cl  0.681  0.681  0.000

Output
- N(E_F): 3.4 states/eV/f.u.
- Final energy: -39.11 eV for the cell shown
- V: 25.41 Å³/atom
- Crystal system: tetragonal

***

(2)
Entry from Alexandria: BaNClO2 after structural relaxation (GGA-PBE).

Lattice parameters (Å, degrees): 4.966 4.966 5.957 90.00 90.00 90.00
Atoms (fractional coordinates):
Ba  0.000  0.000  0.000
N  0.000  0.000  0.500
Cl  0.500  0.500  0.500
O  0.000  0.500  0.000
O  0.500  0.000  0.000

Output
- N(E_F): 5.5 states/eV/f.u.
- Final energy: -18.44 eV for the cell shown
- V: 29.38 Å³/atom
- Crystal system: tetragonal

***

(3)
Entry from Alexandria: BaN2ClO after structural relaxation (GGA-PBE).

Lattice parameters (Å, degrees): 4.131 4.131 4.339 90.00 90.00 90.00
Atoms (fractional coordinates):
Ba  0.000  0.000  0.000
N  0.000  0.500  0.500
N  0.500  0.000  0.500
Cl  0.500  0.500  0.500
O  0.500  0.500  0.000

Output
- N(E_F): 3.3 states/eV/f.u.
- Final energy: -20.85 eV for the cell shown
- V: 14.81 Å³/atom
- Crystal system: tetragonal

***

(4)
Entry from Alexandria: Ba4NCl2O after structural relaxation (GGA-PBE).

Lattice parameters (Å, degrees): 7.097 4.120 7.902 90.00 107.46 90.00
Atoms (fractional coordinates):
Ba  0.232  0.000  0.200
Ba  0.264  0.500  0.802
Ba  0.736  0.500  0.198
Ba  0.768  0.000  0.800
N  0.000  0.500  0.000
Cl  0.000  0.000  0.500
Cl  0.500  0.500  0.500
O  0.500  0.000  0.000

Output
- N(E_F): 3.4 states/eV/f.u.
- Final energy: -38.45 eV for the cell shown
- V: 27.55 Å³/atom
- Crystal system: monoclinic

***

(5)
Entry from Alexandria: Ba8N3Cl3O after structural relaxation (GGA-PBE).

Lattice parameters (Å, degrees): 8.279 8.279 8.953 117.56 117.56 59.96
Atoms (fractional coordinates):
Ba  0.227  0.735  0.697
Ba  0.234  0.234  0.702
Ba  0.265  0.265  0.303
Ba  0.265  0.773  0.303
Ba  0.735  0.227  0.697
Ba  0.735  0.735  0.697
Ba  0.766  0.766  0.298
Ba  0.773  0.265  0.303
N  0.000  0.000  0.500
N  0.000  0.500  0.500
N  0.500  0.000  0.500
Cl  0.000  0.500  0.000
Cl  0.500  0.000  0.000
Cl  0.500  0.500  0.000
O  0.500  0.500  0.500

Output
- N(E_F): 4.4 states/eV/f.u.
- Final energy: -70.84 eV for the cell shown
- V: 29.94 Å³/atom
- Crystal system: monoclinic

***

(6)
Entry from Alexandria: BaNClO2 after structural relaxation (GGA-PBE).

Lattice parameters (Å, degrees): 4.288 4.288 3.831 90.00 90.00 90.00
Atoms (fractional coordinates):
Ba  0.000  0.000  0.000
N  0.500  0.500  0.000
Cl  0.500  0.500  0.500
O  0.000  0.500  0.500
O  0.500  0.000  0.500

Output
- N(E_F): 0.4 states/eV/f.u.
- Final energy: -21.49 eV for the cell shown
- V: 14.09 Å³/atom
- Crystal system: tetragonal

***

(7)
Entry from Alexandria: BaN2ClO after structural relaxation (GGA-PBE).

Lattice parameters (Å, degrees): 5.849 5.849 4.439 90.00 90.00 90.00
Atoms (fractional coordinates):
Ba  0.000  0.000  0.000
N  0.000  0.500  0.000
N  0.500  0.000  0.000
Cl  0.500  0.500  0.500
O  0.000  0.000  0.500

Output
- N(E_F): 3.4 states/eV/f.u.
- Final energy: -18.67 eV for the cell shown
- V: 30.37 Å³/atom
- Crystal system: tetragonal

***

(8)
Entry from Alexandria: Ba3Si3N5ClO after structural relaxation (GGA-PBE).

Lattice parameters (Å, degrees): 9.714 9.714 5.522 90.93 90.93 121.12
Atoms (fractional coordinates):
Ba  0.077  0.923  0.500
Ba  0.347  0.544  0.016
Ba  0.494  0.871  0.505
Ba  0.544  0.347  0.516
Ba  0.871  0.494  0.005
Ba  0.923  0.077  0.000
Si  0.116  0.583  0.498
Si  0.181  0.304  0.509
Si  0.240  0.835  0.016
Si  0.304  0.181  0.009
Si  0.583  0.116  0.998
Si  0.835  0.240  0.516
N  0.163  0.711  0.260
N  0.178  0.971  0.001
N  0.243  0.509  0.522
N  0.258  0.261  0.256
N  0.261  0.258  0.756
N  0.444  0.913  0.000
N  0.509  0.243  0.022
N  0.711  0.163  0.760
N  0.913  0.444  0.500
N  0.971  0.178  0.501
Cl  0.688  0.755  0.258
Cl  0.755  0.688  0.758
O  0.155  0.708  0.757
O  0.708  0.155  0.257

Output
- N(E_F): 0.0 states/eV/f.u.
- Final energy: -180.45 eV for the cell shown
- V: 17.15 Å³/atom
- Crystal system: monoclinic

***

(9)
Entry from Alexandria: Ba2OsNCl after structural relaxation (GGA-PBE).

Lattice parameters (Å, degrees): 5.802 5.802 3.811 90.00 90.00 90.00
Atoms (fractional coordinates):
Ba  0.000  0.500  0.000
Ba  0.500  0.000  0.000
Os  0.000  0.000  0.500
N  0.000  0.000  0.000
Cl  0.500  0.500  0.500

Output
- N(E_F): 2.3 states/eV/f.u.
- Final energy: -29.71 eV for the cell shown
- V: 25.66 Å³/atom
- Crystal system: tetragonal

***

(10)
Entry from Alexandria: Ba6P2NCl after structural relaxation (GGA-PBE).

Lattice parameters (Å, degrees): 7.429 8.560 13.156 90.00 123.50 90.00
Atoms (fractional coordinates):
Ba  0.088  0.041  0.231
Ba  0.088  0.459  0.731
Ba  0.222  0.709  0.068
Ba  0.222  0.791  0.568
Ba  0.375  0.164  0.071
Ba  0.375  0.336  0.571
Ba  0.625  0.664  0.429
Ba  0.625  0.836  0.929
Ba  0.778  0.209  0.432
Ba  0.778  0.291  0.932
Ba  0.912  0.541  0.269
Ba  0.912  0.959  0.769
P  0.308  0.114  0.749
P  0.308  0.386  0.249
P  0.692  0.614  0.751
P  0.692  0.886  0.251
N  0.000  0.000  0.000
N  0.000  0.500  0.500
Cl  0.500  0.000  0.500
Cl  0.500  0.500  0.000

Output
- N(E_F): 3.3 states/eV/f.u.
- Final energy: -84.27 eV for the cell shown
- V: 34.88 Å³/atom
- Crystal system: monoclinic

***

(11)
Entry from Alexandria: Ba8P3NCl3 after structural relaxation (GGA-PBE).

Lattice parameters (Å, degrees): 9.344 9.344 9.344 58.50 58.50 58.50
Atoms (fractional coordinates):
Ba  0.241  0.241  0.241
Ba  0.261  0.724  0.724
Ba  0.276  0.276  0.739
Ba  0.276  0.739  0.276
Ba  0.724  0.261  0.724
Ba  0.724  0.724  0.261
Ba  0.739  0.276  0.276
Ba  0.759  0.759  0.759
P  0.000  0.000  0.500
P  0.000  0.500  0.000
P  0.500  0.000  0.000
N  0.500  0.500  0.500
Cl  0.000  0.500  0.500
Cl  0.500  0.000  0.500
Cl  0.500  0.500  0.000

Output
- N(E_F): 3.3 states/eV/f.u.
- Final energy: -65.99 eV for the cell shown
- V: 37.15 Å³/atom
- Crystal system: trigonal

***

(12)
Entry from Alexandria: BaP2NCl after structural relaxation (GGA-PBE).

Lattice parameters (Å, degrees): 4.120 4.120 6.369 90.00 90.00 90.00
Atoms (fractional coordinates):
Ba  0.000  0.000  0.000
P  0.000  0.500  0.500
P  0.500  0.000  0.500
N  0.500  0.500  0.500
Cl  0.500  0.500  0.000

Output
- N(E_F): 5.4 states/eV/f.u.
- V: 21.62 Å³/atom
- Relative energy among the computed polymorphs: 0 meV/atom
- Crystal system: tetragonal

***

(13)
Entry from Alexandria: BaP2NCl after structural relaxation (GGA-PBE).

Lattice parameters (Å, degrees): 6.684 6.684 5.970 90.00 90.00 90.00
Atoms (fractional coordinates):
Ba  0.000  0.000  0.000
P  0.000  0.500  0.000
P  0.500  0.000  0.000
N  0.500  0.500  0.500
Cl  0.000  0.000  0.500

Output
- N(E_F): 0.7 states/eV/f.u.
- V: 53.34 Å³/atom
- Relative energy among the computed polymorphs: 1390 meV/atom
- Crystal system: tetragonal

***

(14)
Entry from Alexandria: Ba6P2NCl2 after structural relaxation (GGA-PBE).

Lattice parameters (Å, degrees): 7.804 7.804 8.105 99.76 99.76 119.72
Atoms (fractional coordinates):
Ba  0.074  0.382  0.715
Ba  0.228  0.228  0.294
Ba  0.382  0.074  0.715
Ba  0.618  0.926  0.285
Ba  0.772  0.772  0.706
Ba  0.926  0.618  0.285
P  0.332  0.668  0.500
P  0.668  0.332  0.500
N  0.000  0.000  0.500
Cl  0.168  0.832  0.000
Cl  0.832  0.168  0.000

Output
- N(E_F): 1.9 states/eV/f.u.
- Final energy: -48.43 eV for the cell shown
- V: 36.68 Å³/atom
- Crystal system: monoclinic

***

(15)
Entry from Alexandria: Ba3Pa2N5Cl2 after structural relaxation (GGA-PBE).

Lattice parameters (Å, degrees): 13.433 13.433 13.433 160.98 160.98 27.03
Atoms (fractional coordinates):
Ba  0.000  0.000  0.000
Ba  0.165  0.165  0.000
Ba  0.835  0.835  0.000
Pa  0.416  0.416  0.000
Pa  0.584  0.584  0.000
N  0.096  0.596  0.500
N  0.404  0.904  0.500
N  0.500  0.500  0.000
N  0.596  0.096  0.500
N  0.904  0.404  0.500
Cl  0.296  0.296  0.000
Cl  0.704  0.704  0.000

Output
- N(E_F): 5.1 states/eV/f.u.
- Final energy: -89.09 eV for the cell shown
- V: 21.45 Å³/atom
- Crystal system: tetragonal

***

(16)
Entry from Alexandria: Ba2PmN2Cl2 after structural relaxation (GGA-PBE).

Lattice parameters (Å, degrees): 8.719 8.719 8.719 148.94 148.94 44.50
Atoms (fractional coordinates):
Ba  0.114  0.114  0.000
Ba  0.886  0.886  0.000
Pm  0.500  0.500  0.000
N  0.000  0.500  0.500
N  0.500  0.000  0.500
Cl  0.320  0.320  0.000
Cl  0.680  0.680  0.000

Output
- N(E_F): 3.3 states/eV/f.u.
- Final energy: -39.24 eV for the cell shown
- V: 25.13 Å³/atom
- Crystal system: tetragonal

***

(17)
Entry from Alexandria: Ba2PrN2Cl2 after structural relaxation (GGA-PBE).

Lattice parameters (Å, degrees): 8.727 8.727 8.727 148.63 148.63 44.96
Atoms (fractional coordinates):
Ba  0.113  0.113  0.000
Ba  0.887  0.887  0.000
Pr  0.500  0.500  0.000
N  0.000  0.500  0.500
N  0.500  0.000  0.500
Cl  0.318  0.318  0.000
Cl  0.682  0.682  0.000

Output
- N(E_F): 3.0 states/eV/f.u.
- Final energy: -38.98 eV for the cell shown
- V: 25.66 Å³/atom
- Crystal system: tetragonal

***

(18)
Entry from Alexandria: Ba6PtN2Cl3 after structural relaxation (GGA-PBE).

Lattice parameters (Å, degrees): 7.459 7.459 8.107 98.77 98.77 120.34
Atoms (fractional coordinates):
Ba  0.065  0.428  0.798
Ba  0.207  0.207  0.202
Ba  0.428  0.065  0.798
Ba  0.572  0.935  0.202
Ba  0.793  0.793  0.798
Ba  0.935  0.572  0.202
Pt  0.500  0.500  0.000
N  0.166  0.834  0.000
N  0.834  0.166  0.000
Cl  0.000  0.000  0.500
Cl  0.336  0.664  0.500
Cl  0.664  0.336  0.500

Output
- N(E_F): 5.7 states/eV/f.u.
- Final energy: -55.13 eV for the cell shown
- V: 30.88 Å³/atom
- Crystal system: monoclinic

***

(19)
Entry from Alexandria: Ba4PtNCl2 after structural relaxation (GGA-PBE).

Lattice parameters (Å, degrees): 7.636 4.360 8.110 90.00 106.79 90.00
Atoms (fractional coordinates):
Ba  0.220  0.000  0.201
Ba  0.230  0.500  0.791
Ba  0.770  0.500  0.209
Ba  0.780  0.000  0.799
Pt  0.500  0.000  0.000
N  0.000  0.500  0.000
Cl  0.000  0.000  0.500
Cl  0.500  0.500  0.500

Output
- N(E_F): 3.4 states/eV/f.u.
- Final energy: -36.07 eV for the cell shown
- V: 32.31 Å³/atom
- Crystal system: monoclinic

***

(20)
Entry from Alexandria: Rb2BaNCl6 after structural relaxation (GGA-PBE).

Lattice parameters (Å, degrees): 7.555 7.555 7.555 117.78 117.78 93.89
Atoms (fractional coordinates):
Rb  0.250  0.750  0.500
Rb  0.750  0.250  0.500
Ba  0.000  0.000  0.000
N  0.500  0.500  0.000
Cl  0.268  0.268  0.536
Cl  0.268  0.732  0.000
Cl  0.290  0.290  0.000
Cl  0.710  0.710  0.000
Cl  0.732  0.268  0.000
Cl  0.732  0.732  0.464

Output
- N(E_F): 3.9 states/eV/f.u.
- Final energy: -32.69 eV for the cell shown
- V: 31.44 Å³/atom
- Crystal system: tetragonal